{"formula": "NdReW", "functional": "GGA-PBE", "state": "relaxed", "magnetic_moment_mub_per_atom": 0.00, "ef_ev_per_atom": 0.405, "space_group": "P2_1/m, No. 11", "dos_at_fermi_per_ev_atom": 0.717, "lattice_angstrom": [[5.107, 0.000, 0.000], [0.000, 4.355, 0.000], [-0.731, 0.000, 6.366]], "species": ["Nd", "Nd", "Re", "Re", "W", "W"], "fractional_positions": [[0.241, 0.250, 0.377], [0.759, 0.750, 0.623], [0.336, 0.750, 0.038], [0.664, 0.250, 0.962], [0.133, 0.250, 0.878], [0.867, 0.750, 0.122]]}